(1)
The following is a GGA-PBE calculation of crystalline NdGdPt4Pb2 at its relaxed geometry, from OQMD via LeMat-Bulk.

Results
**E**: -5.880 eV/atom

a = 4.699 Å, b = 4.699 Å, c = 9.178 Å
α = 90.00°, β = 90.00°, γ = 120.00°
Fractional coordinates of all 8 atoms:
Pt (0.333, 0.667, 0.847)
Pt (0.000, 0.000, 0.342)
Pt (0.333, 0.667, 0.153)
Pt (0.000, 0.000, 0.658)
Nd (0.333, 0.667, 0.500)
Gd (0.000, 0.000, 0.000)
Pb (0.667, 0.333, 0.247)
Pb (0.667, 0.333, 0.753)

***

(2)
The following is a GGA-PBE calculation of crystalline NdGdPd2 at its relaxed geometry, from OQMD via LeMat-Bulk.

Results
**ΔH_f (0 K)**: -0.856 eV per atom

a = 4.602 Å, b = 5.716 Å, c = 5.716 Å
α = 39.12°, β = 90.00°, γ = 90.00°
Fractional coordinates of all 4 atoms:
Pd (0.500, 0.913, 0.913)
Pd (0.000, 0.086, 0.086)
Gd (0.000, 0.363, 0.363)
Nd (0.500, 0.637, 0.637)